(1)
{"formula": "YAgSe", "functional": "GGA-PBEsol", "state": "optimized geometry", "space_group": "No. 156", "lattice": [[4.022, 0.000, 0.000], [-2.011, 3.484, 0.000], [0.000, 0.000, 5.129]], "species": ["Y", "Ag", "Se"], "fractional_positions": [[0.000, 0.000, 0.000], [0.333, 0.667, 0.623], [0.667, 0.333, 0.314]]}

=====

(2)
{"formula": "YAg3Se", "functional": "GGA-PBEsol", "state": "optimized geometry", "space_group": "No. 221", "dos_at_fermi_per_ev_atom": 0.866, "lattice": [[4.926, 0.000, 0.000], [0.000, 4.926, 0.000], [0.000, 0.000, 4.926]], "species": ["Y", "Ag", "Ag", "Ag", "Se"], "fractional_positions": [[0.000, 0.000, 0.000], [0.000, 0.500, 0.500], [0.500, 0.000, 0.500], [0.500, 0.500, 0.000], [0.500, 0.500, 0.500]]}

=====

Number 1: E_form (uncorrected) -804 meV/atom. Number 2: E_form (uncorrected) 323 meV/atom.